(1)
DFT (PBE) results for an optimized crystal structure of AlCu2Ni.

Computed properties:
**Calculated total energy**: -17.83 eV for the cell shown

Cell and atoms, written as CIF:
```
data_AlCu2Ni
_chemical_formula_sum 'Al1 Cu2 Ni1'
_cell_length_a 4.067
_cell_length_b 4.067
_cell_length_c 4.067
_cell_angle_alpha 60.00
_cell_angle_beta 60.00
_cell_angle_gamma 60.00
_space_group_name_H-M_alt 'P 1'
_space_group_IT_number 1
loop_
_space_group_symop_operation_xyz
'x,y,z'
loop_
_atom_site_label
_atom_site_fract_x
_atom_site_fract_y
_atom_site_fract_z
Al1 0.000 0.000 0.000
Cu1 0.250 0.250 0.250
Cu2 0.500 0.500 0.500
Ni1 0.750 0.750 0.750
```


(2)
DFT (PBE) results for an optimized crystal structure of NdSmTe3Au.

Computed properties:
**Calculated total energy**: -57.28 eV for the cell shown

Cell and atoms, written as CIF:
```
data_NdSmTe3Au
_chemical_formula_sum 'Nd2 Sm2 Te6 Au2'
_cell_length_a 7.775
_cell_length_b 7.775
_cell_length_c 11.150
_cell_angle_alpha 90.00
_cell_angle_beta 90.00
_cell_angle_gamma 148.60
_space_group_name_H-M_alt 'P 1'
_space_group_IT_number 1
loop_
_space_group_symop_operation_xyz
'x,y,z'
loop_
_atom_site_label
_atom_site_fract_x
_atom_site_fract_y
_atom_site_fract_z
Nd1 0.000 0.000 0.000
Nd2 0.000 0.000 0.500
Sm1 0.224 0.776 0.750
Sm2 0.776 0.224 0.250
Te1 0.109 0.891 0.250
Te2 0.345 0.655 0.057
Te3 0.345 0.655 0.443
Te4 0.655 0.345 0.557
Te5 0.655 0.345 0.943
Te6 0.891 0.109 0.750
Au1 0.470 0.530 0.250
Au2 0.530 0.470 0.750
```


(3)
DFT (PBE) results for an optimized crystal structure of ZrZn.

Computed properties:
**Calculated total energy**: -60.14 eV for the cell shown

Cell and atoms, written as CIF:
```
data_ZrZn
_chemical_formula_sum 'Zr6 Zn6'
_cell_length_a 4.531
_cell_length_b 9.868
_cell_length_c 5.091
_cell_angle_alpha 90.00
_cell_angle_beta 90.00
_cell_angle_gamma 90.00
_space_group_name_H-M_alt 'P 1'
_space_group_IT_number 1
loop_
_space_group_symop_operation_xyz
'x,y,z'
loop_
_atom_site_label
_atom_site_fract_x
_atom_site_fract_y
_atom_site_fract_z
Zr1 0.000 0.092 0.000
Zr2 0.000 0.407 0.090
Zr3 0.000 0.593 0.590
Zr4 0.000 0.908 0.500
Zr5 0.500 0.389 0.665
Zr6 0.500 0.611 0.165
Zn1 0.000 0.217 0.515
Zn2 0.000 0.783 0.015
Zn3 0.500 0.079 0.628
Zn4 0.500 0.236 0.176
Zn5 0.500 0.764 0.676
Zn6 0.500 0.921 0.128
```